[1]
DFT (PBE-GGA) results for crystalline Pr2SmEr5Sc at its relaxed geometry.

Uncorrected energy   -4.67 eV per atom
Energy of formation from the pure elements   0.157 eV per atom
Calculated density   7.6 g/cm3

Lattice parameters (Å, degrees): 10.242 10.242 10.454 90.00 90.00 148.40
Fractional positions:
Pr (0.113, 0.887, 0.500)
Pr (0.115, 0.885, 0.919)
Pr (0.885, 0.115, 0.419)
Pr (0.887, 0.113, 0.000)
Sm (0.413, 0.587, 0.644)
Sm (0.587, 0.413, 0.144)
Er (0.017, 0.983, 0.205)
Er (0.277, 0.723, 0.507)
Er (0.298, 0.702, 0.889)
Er (0.376, 0.624, 0.204)
Er (0.482, 0.518, 0.924)
Er (0.518, 0.482, 0.424)
Er (0.624, 0.376, 0.704)
Er (0.702, 0.298, 0.389)
Er (0.723, 0.277, 0.007)
Er (0.983, 0.017, 0.705)
Sc (0.197, 0.803, 0.200)
Sc (0.803, 0.197, 0.700)

[2]
DFT (PBE-GGA) results for crystalline Ca3HfZn at its relaxed geometry.

Uncorrected energy   -2.84 eV per atom
Energy of formation from the pure elements   0.611 eV per atom
Energy relative to the lowest polymorph listed for this composition   0.000 eV/atom
Calculated density   3.5 g/cm3

Lattice parameters (Å, degrees): 5.575 5.575 5.575 90.00 90.00 90.00
Fractional positions:
Ca (0.000, 0.000, 0.500)
Ca (0.000, 0.500, 0.000)
Ca (0.500, 0.000, 0.000)
Hf (0.500, 0.500, 0.500)
Zn (0.000, 0.000, 0.000)

[3]
DFT (PBE-GGA) results for crystalline AcLa2Gd at its relaxed geometry.

Uncorrected energy   -6.98 eV per atom
Energy of formation from the pure elements   0.027 eV per atom
Energy relative to the lowest polymorph listed for this composition   0.011 eV/atom
Calculated density   7.2 g/cm3

Lattice parameters (Å, degrees): 3.798 3.798 10.518 90.00 90.00 90.00
Fractional positions:
Ac (0.000, 0.000, 0.000)
La (0.500, 0.500, 0.263)
La (0.500, 0.500, 0.737)
Gd (0.000, 0.000, 0.500)

[4]
DFT (PBE-GGA) results for crystalline CaLaAu2 at its relaxed geometry.

Uncorrected energy   -4.20 eV per atom
Energy of formation from the pure elements   -0.827 eV per atom
Calculated density   9.3 g/cm3

Lattice parameters (Å, degrees): 5.250 5.250 5.250 60.00 60.00 60.00
Fractional positions:
Ca (0.000, 0.000, 0.000)
La (0.500, 0.500, 0.500)
Au (0.250, 0.250, 0.250)
Au (0.750, 0.750, 0.750)

[5]
DFT (PBE-GGA) results for crystalline KY2Tl2 at its relaxed geometry.

Uncorrected energy   -3.86 eV per atom
Energy of formation from the pure elements   -0.107 eV per atom
Energy relative to the lowest polymorph listed for this composition   0.061 eV/atom
Calculated density   6.6 g/cm3

Lattice parameters (Å, degrees): 9.216 9.216 3.713 90.00 90.00 90.00
Fractional positions:
K (0.000, 0.000, 0.000)
K (0.500, 0.500, 0.000)
Y (0.164, 0.336, 0.500)
Y (0.336, 0.836, 0.500)
Y (0.664, 0.164, 0.500)
Y (0.836, 0.664, 0.500)
Tl (0.131, 0.631, 0.000)
Tl (0.369, 0.131, 0.000)
Tl (0.631, 0.869, 0.000)
Tl (0.869, 0.369, 0.000)

[6]
DFT (PBE-GGA) results for crystalline RbMgCd at its relaxed geometry.

Uncorrected energy   -1.08 eV per atom
Energy of formation from the pure elements   0.075 eV per atom
Energy relative to the lowest polymorph listed for this composition   0.074 eV/atom
Calculated density   3.3 g/cm3

Lattice parameters (Å, degrees): 7.258 7.258 7.258 147.34 147.34 46.86
Fractional positions:
Rb (0.000, 0.000, 0.000)
Mg (0.278, 0.278, 0.000)
Cd (0.712, 0.712, 0.000)

[7]
DFT (PBE-GGA) results for crystalline RbTlAs2 at its relaxed geometry.

Uncorrected energy   -3.13 eV per atom
Energy of formation from the pure elements   0.027 eV per atom
Energy relative to the lowest polymorph listed for this composition   0.000 eV/atom
Calculated density   5.0 g/cm3

Lattice parameters (Å, degrees): 10.578 10.578 10.578 150.34 150.34 42.45
Fractional positions:
Rb (0.000, 0.000, 0.000)
Rb (0.750, 0.250, 0.500)
Tl (0.250, 0.750, 0.500)
Tl (0.500, 0.500, 0.000)
As (0.310, 0.625, 0.185)
As (0.375, 0.560, 0.685)
As (0.440, 0.125, 0.815)
As (0.875, 0.690, 0.315)